DFT (PBE-GGA) results for Sm4Sb2Se after structural relaxation.

Properties
N(E_F) (states/eV per cell): 12.9
Spin magnetization (μB per formula unit): 0.00
Energy relative to the elements, uncorrected (eV/atom): -1.17
Space group: I-42d
Relative energy among the computed polymorphs (eV per formula unit): 0.000

Cell lengths 8.0007, 8.0007, 8.0007 Å; angles 110.29, 110.29, 107.84 degrees
With the nearest neighbours (Å) after each atom.
Fractional coordinates of all 14 atoms:
Sm (0.1090, 0.2290, 0.7357)  1 Se 2.93, 2 Sb 3.11-3.12
Sm (0.1233, 0.7433, 0.7643)  1 Se 2.93, 2 Sb 3.11-3.12
Sm (0.2567, 0.0210, 0.3800)  1 Se 2.93, 2 Sb 3.11-3.12
Sm (0.4933, 0.3733, 0.2643)  1 Se 2.93, 2 Sb 3.11-3.12
Sm (0.6267, 0.8910, 0.1200)  1 Se 2.93, 2 Sb 3.11-3.12
Sm (0.6410, 0.8767, 0.6200)  1 Se 2.93, 2 Sb 3.11-3.12
Sm (0.7710, 0.5067, 0.8800)  1 Se 2.93, 2 Sb 3.11-3.12
Sm (0.9790, 0.3590, 0.2357)  1 Se 2.93, 2 Sb 3.11-3.12
Sb (0.2592, 0.6250, 0.1342)  8 Sm 3.11-3.34
Sb (0.3750, 0.5092, 0.6342)  8 Sm 3.11-3.34
Sb (0.4908, 0.1250, 0.8658)  8 Sm 3.11-3.34
Sb (0.8750, 0.7408, 0.3658)  8 Sm 3.11-3.34
Se (0.0000, 0.0000, 0.0000)  4 Sm 2.93
Se (0.7500, 0.2500, 0.5000)  4 Sm 2.93